## In2ReAs (PBE)

Data for an optimized crystal structure of In2ReAs.

Geometry as POSCAR:
```
In2ReAs
1.0
3.3156 0.0000 0.0000
0.0000 2.8421 -0.0162
0.0000 0.0525 8.6278
As Re In
1 1 2
Direct
0.5000 0.7500 0.7500 As
0.5000 0.2500 0.2500 Re
0.0000 0.7505 0.0311 In
0.0000 0.7495 0.4689 In
```

* formation energy from the elements: 460.8 meV per atom
* electronic total energy: -5.18 eV per atom



## BeCr2Cd (PBE)

Data for an optimized crystal structure of BeCr2Cd.

Geometry as POSCAR:
```
BeCr2Cd
1.0
2.6248 -0.0005 0.0000
-0.9360 2.4522 0.0000
0.0000 0.0000 8.2824
Be Cr Cd
1 2 1
Direct
0.0000 0.0000 0.4675 Be
0.5000 0.5000 0.2520 Cr
0.0000 0.0000 0.0380 Cr
0.5000 0.5000 0.7425 Cd
```

* formation energy from the elements: 387.5 meV per atom
* electronic total energy: -5.58 eV per atom
* energy relative to the lowest polymorph listed for this composition: 54 kJ/mol of formula units